No. 1
This record from the Alexandria database describes a relaxed structure of Tl3AsIr. The functional is PBE.

a b c (Å): 5.3020 5.3020 5.3020
angles (deg): 90.00 90.00 90.00
With the nearest neighbours (Å) after each atom.
Fractional positions:
Tl 0.0000 0.0000 0.5000  2 Ir 2.65
Tl 0.0000 0.5000 0.0000  2 Ir 2.65
Tl 0.5000 0.0000 0.0000  2 Ir 2.65
As 0.5000 0.5000 0.5000  12 Tl 3.75
Ir 0.0000 0.0000 0.0000  6 Tl 2.65

Calculated values
Symmetry: No. 221
Calculated formation energy: 40 kJ/mol of atoms

---

No. 2
This record from the Alexandria database describes a relaxed structure of TaBeOsPb2. The functional is PBE.

a b c (Å): 4.6731 4.6731 4.5275
angles (deg): 90.00 90.00 90.00
With the nearest neighbours (Å) after each atom.
Fractional positions:
Ta 0.0000 0.0000 0.0000  2 Be 2.26
Be 0.0000 0.0000 0.5000  2 Ta 2.26, 4 Pb 2.34
Os 0.5000 0.5000 0.0000  8 Pb 3.25, 4 Ta 3.30
Pb 0.0000 0.5000 0.5000  2 Be 2.34
Pb 0.5000 0.0000 0.5000  2 Be 2.34

Calculated values
Symmetry: No. 123
Calculated formation energy: 133 kJ/mol of atoms

---

No. 3
This record from the Alexandria database describes a relaxed structure of TiNbZnFe. The functional is PBE.

a b c (Å): 4.3961 4.3961 4.3961
angles (deg): 60.00 60.00 60.00
With the nearest neighbours (Å) after each atom.
Fractional positions:
Ti 0.0000 0.0000 0.0000  4 Fe 2.69, 4 Zn 2.69
Nb 0.5000 0.5000 0.5000  4 Fe 2.69, 4 Zn 2.69
Zn 0.7500 0.7500 0.7500  4 Nb 2.69, 4 Ti 2.69
Fe 0.2500 0.2500 0.2500  4 Nb 2.69, 4 Ti 2.69

Calculated values
Symmetry: No. 216
Calculated formation energy: -5 kJ/mol of atoms

---

No. 4
This record from the Alexandria database describes a relaxed structure of Dy2TmMg. The functional is PBE.

a b c (Å): 12.3225 12.3225 12.3225
angles (deg): 15.96 15.96 15.96
With the nearest neighbours (Å) after each atom.
Fractional positions:
Dy 0.0897 0.0897 0.0897  1 Mg 3.27, 6 Dy 3.42, 3 Tm 3.43
Dy 0.9103 0.9103 0.9103  1 Mg 3.27, 6 Dy 3.42, 3 Tm 3.43
Tm 0.5000 0.5000 0.5000  6 Tm 3.42, 6 Dy 3.43
Mg 0.0000 0.0000 0.0000  2 Dy 3.27, 6 Mg 3.42

Calculated values
Symmetry: No. 166
Calculated formation energy: 18 kJ/mol of atoms

---

No. 5
This record from the Alexandria database describes a relaxed structure of K2NaBeO. The functional is PBE.

a b c (Å): 7.2007 7.2007 3.0798
angles (deg): 90.00 90.00 90.00
With the nearest neighbours (Å) after each atom.
Fractional positions:
K 0.0000 0.5000 0.0000  2 K 3.08
K 0.5000 0.0000 0.0000  2 K 3.08
Na 0.0000 0.0000 0.5000  2 Na 3.08
Be 0.5000 0.5000 0.5000  2 O 1.54
O 0.5000 0.5000 0.0000  2 Be 1.54

Calculated values
E_form (uncorrected): -263 kJ/mol of formula units
Symmetry: No. 123

---

No. 6
This record from the Alexandria database describes a relaxed structure of Rb2YRu. The functional is PBE.

a b c (Å): 9.6733 9.6733 9.6733
angles (deg): 93.62 93.62 150.91
With the nearest neighbours (Å) after each atom.
Fractional positions:
Rb 0.3750 0.0327 0.1577  2 Ru 3.58, 2 Y 3.97
Rb 0.7827 0.6250 0.6577  2 Ru 3.58, 2 Y 3.97
Rb 0.8750 0.2173 0.8423  2 Ru 3.58, 2 Y 3.97
Rb 0.9673 0.1250 0.3423  2 Ru 3.58, 2 Y 3.97
Y 0.2500 0.7500 0.5000  2 Ru 2.43
Y 0.5000 0.5000 0.0000  2 Ru 2.43
Ru 0.0000 0.0000 0.0000  2 Y 2.43
Ru 0.7500 0.2500 0.5000  2 Y 2.43

Calculated values
Symmetry: No. 122
Calculated formation energy: 77 kJ/mol of atoms

---

No. 7
This record from the Alexandria database describes a relaxed structure of MnAl2Pb. The functional is PBE.

a b c (Å): 2.9934 2.9934 8.7735
angles (deg): 90.00 90.00 90.00
With the nearest neighbours (Å) after each atom.
Fractional positions:
Mn 0.0000 0.0000 0.0000  4 Al 2.63
Al 0.0000 0.0000 0.5990  8 Al 2.89-2.99
Al 0.5000 0.5000 0.8225  4 Mn 2.63, 4 Al 2.89
Pb 0.5000 0.5000 0.2628  4 Pb 2.99, 4 Mn 3.13

Calculated values
Symmetry: No. 99
Calculated formation energy: 22 kJ/mol of atoms

---

No. 8
This record from the Alexandria database describes a relaxed structure of Pm4Tl5Pd2. The functional is PBE.

a b c (Å): 8.0317 3.7788 9.8454
angles (deg): 90.00 94.04 90.00
With the nearest neighbours (Å) after each atom.
Fractional positions:
Pm 0.1923 0.0000 0.3497  2 Pd 2.95
Pm 0.2207 0.0000 0.9265  4 Pd 3.06-3.07, 4 Tl 3.40-3.42
Pm 0.7793 0.0000 0.0735  4 Pd 3.06-3.07, 4 Tl 3.40-3.42
Pm 0.8077 0.0000 0.6503  2 Pd 2.95
Tl 0.1527 0.5000 0.6386  1 Pd 3.00, 1 Tl 3.19
Tl 0.4534 0.5000 0.1660  1 Pd 3.02, 1 Tl 3.28
Tl 0.5000 0.5000 0.5000  4 Tl 3.19-3.28, 4 Pm 3.37
Tl 0.5466 0.5000 0.8340  1 Pd 3.02, 1 Tl 3.28
Tl 0.8473 0.5000 0.3614  1 Pd 3.00, 1 Tl 3.19
Pd 0.0764 0.5000 0.1334  1 Pd 2.82, 6 Pm 2.95-3.07, 2 Tl 3.00-3.02
Pd 0.9236 0.5000 0.8666  1 Pd 2.82, 6 Pm 2.95-3.07, 2 Tl 3.00-3.02

Calculated values
Symmetry: No. 10
Calculated formation energy: -48 kJ/mol of atoms

---

No. 9
This record from the Alexandria database describes a relaxed structure of Tb4Nd15Tl. The functional is PBE.

a b c (Å): 5.1133 5.1133 25.8607
angles (deg): 90.00 90.00 90.00
With the nearest neighbours (Å) after each atom.
Fractional positions:
Tb 0.0000 0.0000 0.1003  12 Nd 3.62-3.65
Tb 0.0000 0.0000 0.3018  12 Nd 3.62-3.66
Tb 0.0000 0.0000 0.6982  12 Nd 3.62-3.66
Tb 0.0000 0.0000 0.8997  12 Nd 3.62-3.65
Nd 0.0000 0.5000 0.0000  8 Nd 3.62-3.65, 4 Tb 3.64
Nd 0.0000 0.5000 0.2013  8 Nd 3.62-3.66, 4 Tb 3.65
Nd 0.0000 0.5000 0.4029  2 Tl 3.58, 8 Nd 3.58-3.64, 2 Tb 3.66
Nd 0.0000 0.5000 0.5971  2 Tl 3.58, 8 Nd 3.58-3.64, 2 Tb 3.66
Nd 0.0000 0.5000 0.7987  8 Nd 3.62-3.66, 4 Tb 3.65
Nd 0.5000 0.0000 0.0000  8 Nd 3.62-3.65, 4 Tb 3.64
Nd 0.5000 0.0000 0.2013  8 Nd 3.62-3.66, 4 Tb 3.65
Nd 0.5000 0.0000 0.4029  2 Tl 3.58, 8 Nd 3.58-3.64, 2 Tb 3.66
Nd 0.5000 0.0000 0.5971  2 Tl 3.58, 8 Nd 3.58-3.64, 2 Tb 3.66
Nd 0.5000 0.0000 0.7987  8 Nd 3.62-3.66, 4 Tb 3.65
Nd 0.5000 0.5000 0.1009  4 Tb 3.62, 8 Nd 3.64-3.65
Nd 0.5000 0.5000 0.3027  4 Tb 3.62, 8 Nd 3.64-3.66
Nd 0.5000 0.5000 0.5000  8 Nd 3.58, 4 Tl 3.62
Nd 0.5000 0.5000 0.6973  4 Tb 3.62, 8 Nd 3.64-3.66
Nd 0.5000 0.5000 0.8991  4 Tb 3.62, 8 Nd 3.64-3.65
Tl 0.0000 0.0000 0.5000  12 Nd 3.58-3.62

Calculated values
Symmetry: No. 123
Calculated formation energy: -2 kJ/mol of atoms

---

No. 10
This record from the Alexandria database describes a relaxed structure of Mg2NpCdO6. The functional is PBE.

a b c (Å): 5.8342 5.8342 5.8342
angles (deg): 55.73 55.73 55.73
With the nearest neighbours (Å) after each atom.
Fractional positions:
Mg 0.0000 0.0000 0.0000  6 O 2.07-2.22
Mg 0.4871 0.4871 0.4871  3 O 2.06
Np 0.6935 0.6935 0.6935  6 O 2.08-2.09
Cd 0.2081 0.2081 0.2081  6 O 2.25-2.43
O 0.0921 0.4134 0.7744  2 Mg 2.06-2.22, 1 Np 2.09
O 0.2980 0.8752 0.6322  2 Mg 2.07-2.31, 1 Np 2.08, 1 Cd 2.25
O 0.4134 0.7744 0.0921  2 Mg 2.06-2.22, 1 Np 2.09
O 0.6322 0.2980 0.8752  2 Mg 2.07-2.31, 1 Np 2.08, 1 Cd 2.25
O 0.7744 0.0921 0.4134  2 Mg 2.06-2.22, 1 Np 2.09
O 0.8752 0.6322 0.2980  2 Mg 2.07-2.31, 1 Np 2.08, 1 Cd 2.25

Calculated values
E_form (uncorrected): -2310 kJ/mol of formula units
Symmetry: No. 146

---

No. 11
This record from the Alexandria database describes a relaxed structure of BaBe2Co. The functional is PBE.

a b c (Å): 5.1749 5.1749 5.1749
angles (deg): 137.90 110.32 84.88
With the nearest neighbours (Å) after each atom.
Fractional positions:
Ba 0.0000 0.0000 0.0000  8 Be 3.14-3.33, 4 Co 3.49
Be 0.3619 0.8619 0.5000  1 Be 2.11, 2 Co 2.14
Be 0.6381 0.1381 0.5000  1 Be 2.11, 2 Co 2.14
Co 0.5000 0.5000 0.0000  4 Be 2.14

Calculated values
Symmetry: No. 71
Calculated formation energy: 62 kJ/mol of atoms

---

No. 12
This record from the Alexandria database describes a relaxed structure of AlTl2TcBi. The functional is PBE.

a b c (Å): 5.3676 5.3676 5.2673
angles (deg): 90.00 90.00 90.00
With the nearest neighbours (Å) after each atom.
Fractional positions:
Al 0.0000 0.0000 0.0000  8 Tl 3.76, 4 Bi 3.80
Tl 0.0000 0.5000 0.5000  2 Tc 2.68
Tl 0.5000 0.0000 0.5000  2 Tc 2.68
Tc 0.5000 0.5000 0.5000  2 Bi 2.63, 4 Tl 2.68
Bi 0.5000 0.5000 0.0000  2 Tc 2.63

Calculated values
Symmetry: No. 123
Calculated formation energy: 59 kJ/mol of atoms

---

No. 13
This record from the Alexandria database describes a relaxed structure of DyGa4IrRh2. The functional is PBE.

a b c (Å): 8.9196 8.9196 8.9196
angles (deg): 27.49 27.49 27.49
With the nearest neighbours (Å) after each atom.
Fractional positions:
Dy 0.0000 0.0000 0.0000  6 Ga 2.96
Ga 0.1311 0.1311 0.1311  4 Rh 2.61-2.73, 3 Ir 2.61
Ga 0.3980 0.3980 0.3980  3 Rh 2.58, 1 Ir 2.63
Ga 0.6020 0.6020 0.6020  3 Rh 2.58, 1 Ir 2.63
Ga 0.8689 0.8689 0.8689  4 Rh 2.61-2.73, 3 Ir 2.61
Ir 0.5000 0.5000 0.5000  8 Ga 2.61-2.63
Rh 0.2370 0.2370 0.2370  7 Ga 2.58-2.73
Rh 0.7630 0.7630 0.7630  7 Ga 2.58-2.73

Calculated values
Symmetry: No. 166
Calculated formation energy: -62 kJ/mol of atoms